(1)
{
  "formula": "RbSrIr",
  "functional": "PBE",
  "state": "relaxed",
  "space_group": "F-43m, No. 216",
  "total_energy_ev_per_atom": -2.80,
  "lattice_angstrom": [[0.000, 3.603, 3.603], [3.603, 0.000, 3.603], [3.603, 3.603, 0.000]],
  "species": ["Rb", "Sr", "Ir"],
  "frac_coords": [[0.000, 0.000, 0.000], [0.250, 0.250, 0.250], [0.750, 0.750, 0.750]]
}


(2)
{
  "formula": "ZnCoReBi",
  "functional": "PBE",
  "state": "relaxed",
  "space_group": "F-43m, No. 216",
  "e_above_lowest_polymorph_kj_per_mol_fu": 61,
  "lattice_angstrom": [[0.000, 3.230, 3.230], [3.230, 0.000, 3.230], [3.230, 3.230, 0.000]],
  "species": ["Zn", "Co", "Re", "Bi"],
  "frac_coords": [[0.000, 0.000, 0.000], [0.500, 0.500, 0.500], [0.750, 0.750, 0.750], [0.250, 0.250, 0.250]]
}


(3)
{
  "formula": "Li5Cu6",
  "functional": "PBE",
  "state": "relaxed",
  "space_group": "P-1, No. 2",
  "total_energy_ev_per_atom": -2.94,
  "lattice_angstrom": [[4.415, 0.000, 0.000], [-1.615, 5.722, 0.000], [-1.063, -2.224, 5.425]],
  "species": ["Li", "Li", "Li", "Li", "Li", "Cu", "Cu", "Cu", "Cu", "Cu", "Cu"],
  "frac_coords": [[0.000, 0.000, 0.000], [0.267, 0.078, 0.459], [0.372, 0.467, 0.261], [0.628, 0.533, 0.739], [0.733, 0.922, 0.541], [0.083, 0.375, 0.817], [0.180, 0.719, 0.637], [0.460, 0.826, 0.087], [0.540, 0.174, 0.913], [0.820, 0.281, 0.363], [0.917, 0.625, 0.183]]
}


(4)
{
  "formula": "PuTaCo",
  "functional": "PBE",
  "state": "relaxed",
  "space_group": "F-43m, No. 216",
  "e_above_lowest_polymorph_kj_per_mol_fu": 0,
  "delta_e_f_mev_per_atom": 827,
  "lattice_angstrom": [[0.000, 3.013, 3.013], [3.013, 0.000, 3.013], [3.013, 3.013, 0.000]],
  "species": ["Pu", "Ta", "Co"],
  "frac_coords": [[0.000, 0.000, 0.000], [0.500, 0.500, 0.500], [0.250, 0.250, 0.250]]
}